Entry w
A plane-wave DFT calculation with GGA-PBE was carried out for an optimized crystal structure of SnHg3P.

```
SnHg3P
1.0
5.6052 0.0000 0.0000
0.0000 5.6052 0.0000
0.0000 0.0000 5.6052
Sn Hg P
1 3 1
Cartesian
0.0000 0.0000 0.0000
0.0000 0.0000 2.8026
0.0000 2.8026 0.0000
2.8026 0.0000 0.0000
2.8026 2.8026 2.8026
```

M_tot   2.2 μB/f.u.

---

Entry x
A plane-wave DFT calculation with GGA-PBE was carried out for an optimized crystal structure of SnHg3P.

```
SnHg3P
1.0
5.1622 0.0000 0.0000
0.0000 5.1622 0.0000
0.0000 0.0000 5.1622
Sn Hg P
1 3 1
Cartesian
0.0000 0.0000 0.0000
0.0000 2.5811 2.5811
2.5811 0.0000 2.5811
2.5811 2.5811 0.0000
2.5811 2.5811 2.5811
```

M_tot   0.0 μB/f.u.

---

Relative stability in eV/atom, measured from the most stable structure: entry w 0.295; entry x 0.000

---

Entry w
A plane-wave DFT calculation with GGA-PBE was carried out for an optimized crystal structure of SnHg2P2.

```
SnHg2P2
1.0
4.1096 0.0000 0.0000
0.0000 4.1096 0.0000
0.0000 0.0000 15.5594
Sn Hg P
2 4 4
Cartesian
0.0000 0.0000 0.0000
2.0548 2.0548 7.7797
0.0000 2.0548 3.8899
0.0000 2.0548 11.6696
2.0548 0.0000 3.8899
2.0548 0.0000 11.6696
0.0000 0.0000 6.7348
0.0000 0.0000 8.8246
2.0548 2.0548 1.0449
2.0548 2.0548 14.5145
```

M_tot   0.0 μB/f.u.

---

Entry x
A plane-wave DFT calculation with GGA-PBE was carried out for an optimized crystal structure of SnHg2P2.

```
SnHg2P2
1.0
4.4286 0.0000 0.0000
0.0000 4.4286 0.0000
0.0000 0.0000 11.8505
Sn Hg P
2 4 4
Cartesian
0.0000 0.0000 0.0000
2.2143 2.2143 5.9253
0.0000 0.0000 4.5505
0.0000 0.0000 7.3001
2.2143 2.2143 1.3748
2.2143 2.2143 10.4758
0.0000 2.2143 2.9626
0.0000 2.2143 8.8879
2.2143 0.0000 2.9626
2.2143 0.0000 8.8879
```

M_tot   0.0 μB/f.u.

---

Relative stability in eV/atom, measured from the most stable structure: entry w 0.000; entry x 0.272

---

Entry w
A plane-wave DFT calculation with GGA-PBE was carried out for an optimized crystal structure of TaSnHg2P.

```
TaSnHg2P
1.0
5.3193 0.0000 0.0000
0.0000 5.3193 0.0000
0.0000 0.0000 5.5052
Ta Sn Hg P
1 1 2 1
Cartesian
0.0000 0.0000 0.0000
0.0000 0.0000 2.7526
0.0000 2.6596 2.7526
2.6596 0.0000 2.7526
2.6596 2.6596 0.0000
```

M_tot   1.2 μB/f.u.

---

Entry x
A plane-wave DFT calculation with GGA-PBE was carried out for an optimized crystal structure of TaSnHg2P.

```
TaSnHg2P
1.0
5.4345 0.0000 0.0000
0.0000 5.4345 0.0000
0.0000 0.0000 4.7374
Ta Sn Hg P
1 1 2 1
Cartesian
0.0000 0.0000 0.0000
2.7173 2.7173 2.3687
0.0000 2.7173 0.0000
2.7173 0.0000 0.0000
0.0000 0.0000 2.3687
```

M_tot   0.0 μB/f.u.

---

Relative stability in eV/atom, measured from the most stable structure: entry w 0.989; entry x 0.000

---

Entry w
A plane-wave DFT calculation with GGA-PBE was carried out for an optimized crystal structure of SrHgP.

```
SrHgP
1.0
4.8229 0.0000 0.0000
-2.4114 4.1767 0.0000
0.0000 0.0000 8.7526
Sr Hg P
2 2 2
Cartesian
0.0000 0.0000 0.0000
0.0000 2.7845 5.8782
0.0000 0.0000 3.9155
0.0000 2.7845 2.4193
2.4114 1.3922 0.9524
2.4114 1.3922 7.3789
```

M_tot   0.0 μB/f.u.

---

Entry x
A plane-wave DFT calculation with GGA-PBE was carried out for an optimized crystal structure of SrHgP.

```
SrHgP
1.0
4.3480 0.0000 0.0000
2.1378 5.1860 0.0000
0.0405 -0.0079 7.6145
Sr Hg P
2 2 2
Cartesian
0.0000 0.0000 0.0000
2.1415 2.3652 2.6564
2.2017 2.4067 5.9526
4.4053 4.6137 4.9444
4.3112 4.5084 2.1111
4.3127 2.9420 0.5305
```

M_tot   0.0 μB/f.u.

---

Entry y
A plane-wave DFT calculation with GGA-PBE was carried out for an optimized crystal structure of SrHgP.

```
SrHgP
1.0
3.6356 0.0000 0.0000
0.0000 4.1279 0.0000
0.0000 0.0000 10.3366
Sr Hg P
2 2 2
Cartesian
0.0000 0.0000 0.0000
1.8178 2.0639 5.1683
0.0000 0.0000 3.2130
1.8178 2.0639 8.3813
0.0000 0.0000 6.8439
1.8178 2.0639 1.6756
```

M_tot   0.0 μB/f.u.

---

Entry z
A plane-wave DFT calculation with GGA-PBE was carried out for an optimized crystal structure of SrHgP.

```
SrHgP
1.0
7.1943 0.0000 0.0000
0.0000 7.1943 0.0000
0.0000 0.0000 7.1943
Sr Hg P
4 4 4
Cartesian
0.0000 0.0000 0.0000
0.0000 3.5971 3.5971
3.5971 0.0000 3.5971
3.5971 3.5971 0.0000
1.7986 1.7986 1.7986
1.7986 5.3957 5.3957
5.3957 1.7986 5.3957
5.3957 5.3957 1.7986
1.7986 1.7986 5.3957
1.7986 5.3957 1.7986
5.3957 1.7986 1.7986
5.3957 5.3957 5.3957
```

M_tot   0.0 μB/f.u.

---

Relative stability in eV/atom, measured from the most stable structure: entry w 0.023; entry x 0.000; entry y 0.294; entry z 0.420

---

Entry w
A plane-wave DFT calculation with GGA-PBE was carried out for an optimized crystal structure of Sr2Hg2P.

```
Sr2Hg2P
1.0
8.1427 0.0000 0.0000
0.0000 8.1427 0.0000
0.0000 0.0000 5.1683
Sr Hg P
4 4 2
Cartesian
1.4770 2.5944 0.0000
2.5944 6.6657 0.0000
5.5483 1.4770 0.0000
6.6657 5.5483 0.0000
1.0867 5.1580 2.5842
2.9847 1.0867 2.5842
5.1580 7.0561 2.5842
7.0561 2.9847 2.5842
0.0000 0.0000 0.0000
4.0714 4.0714 0.0000
```

M_tot   0.0 μB/f.u.

---

Entry x
A plane-wave DFT calculation with GGA-PBE was carried out for an optimized crystal structure of Sr2Hg2P.

```
Sr2Hg2P
1.0
6.3100 0.0000 0.0000
0.0000 6.3100 0.0000
0.0000 0.0000 8.1952
Sr Hg P
4 4 2
Cartesian
0.0000 3.1550 2.0488
0.0000 3.1550 6.1464
3.1550 0.0000 2.0488
3.1550 0.0000 6.1464
0.0000 0.0000 1.3849
0.0000 0.0000 6.8104
3.1550 3.1550 2.7127
3.1550 3.1550 5.4825
0.0000 0.0000 4.0976
3.1550 3.1550 0.0000
```

M_tot   0.0 μB/f.u.

---

Relative stability in eV/atom, measured from the most stable structure: entry w 0.000; entry x 0.181

---

Entry w
A plane-wave DFT calculation with GGA-PBE was carried out for an optimized crystal structure of TaHg3P.

```
TaHg3P
1.0
5.3522 0.0000 0.0000
0.0000 5.3522 0.0000
0.0000 0.0000 5.3522
Ta Hg P
1 3 1
Cartesian
0.0000 0.0000 0.0000
0.0000 0.0000 2.6761
0.0000 2.6761 0.0000
2.6761 0.0000 0.0000
2.6761 2.6761 2.6761
```

M_tot   0.0 μB/f.u.

---

Entry x
A plane-wave DFT calculation with GGA-PBE was carried out for an optimized crystal structure of TaHg3P.

```
TaHg3P
1.0
5.0243 0.0000 0.0000
0.0000 5.0243 0.0000
0.0000 0.0000 5.0243
Ta Hg P
1 3 1
Cartesian
0.0000 0.0000 0.0000
0.0000 2.5121 2.5121
2.5121 0.0000 2.5121
2.5121 2.5121 0.0000
2.5121 2.5121 2.5121
```

M_tot   3.2 μB/f.u.

---

Relative stability in eV/atom, measured from the most stable structure: entry w 0.056; entry x 0.000

---

Entry w
A plane-wave DFT calculation with GGA-PBE was carried out for an optimized crystal structure of Tc2HgP.

```
Tc2HgP
1.0
3.0996 0.0000 0.0000
0.0000 4.9791 0.0000
0.0000 0.0000 8.3216
Tc Hg P
4 2 2
Cartesian
0.0000 0.0000 1.6916
0.0000 0.0000 6.6300
1.5498 2.4896 1.6916
1.5498 2.4896 6.6300
0.0000 2.4896 4.1608
1.5498 0.0000 4.1608
0.0000 2.4896 0.0000
1.5498 0.0000 0.0000
```

M_tot   0.0 μB/f.u.

---

Entry x
A plane-wave DFT calculation with GGA-PBE was carried out for an optimized crystal structure of Tc2HgP.

```
Tc2HgP
1.0
6.3616 0.0000 0.0000
0.0000 6.3616 0.0000
0.0000 0.0000 6.3616
Tc Hg P
8 4 4
Cartesian
0.0000 0.0000 0.0000
0.0000 3.1808 3.1808
1.5904 1.5904 1.5904
1.5904 4.7712 4.7712
3.1808 0.0000 3.1808
3.1808 3.1808 0.0000
4.7712 1.5904 4.7712
4.7712 4.7712 1.5904
1.5904 1.5904 4.7712
1.5904 4.7712 1.5904
4.7712 1.5904 1.5904
4.7712 4.7712 4.7712
0.0000 0.0000 3.1808
0.0000 3.1808 0.0000
3.1808 0.0000 0.0000
3.1808 3.1808 3.1808
```

M_tot   0.0 μB/f.u.

---

Entry y
A plane-wave DFT calculation with GGA-PBE was carried out for an optimized crystal structure of Tc2HgP.

```
Tc2HgP
1.0
2.9662 0.0000 0.0000
0.0000 3.2394 0.0000
0.0000 0.0000 14.0489
Tc Hg P
4 2 2
Cartesian
0.0000 0.0000 0.0000
0.0000 1.6197 4.5041
1.4831 0.0000 11.5286
1.4831 1.6197 7.0244
0.0000 0.0000 9.0351
1.4831 1.6197 2.0106
0.0000 1.6197 12.4141
1.4831 0.0000 5.3897
```

M_tot   0.7 μB/f.u.

---

Relative stability in eV/atom, measured from the most stable structure: entry w 0.190; entry x 0.631; entry y 0.000

---

Entry w
A plane-wave DFT calculation with GGA-PBE was carried out for an optimized crystal structure of Tc2HgP.

```
Tc2HgP
1.0
3.0347 0.0000 0.0000
0.0000 4.4333 0.0000
0.0000 0.0000 4.7904
Tc Hg P
2 1 1
Cartesian
0.0000 0.0000 0.0000
1.5173 0.0000 2.3952
0.0000 2.2167 2.3952
1.5173 2.2167 0.0000
```

M_tot   0.3 μB/f.u.

---

Entry x
A plane-wave DFT calculation with GGA-PBE was carried out for an optimized crystal structure of Tc2HgP.

```
Tc2HgP
1.0
4.3354 0.0000 0.0000
0.0000 2.9531 0.0000
0.0000 0.0000 10.5649
Tc Hg P
4 2 2
Cartesian
0.0000 0.0000 0.0000
0.0000 1.4765 5.2824
2.1677 0.0000 4.2778
2.1677 1.4765 9.5602
2.1677 0.0000 7.0101
2.1677 1.4765 1.7276
0.0000 0.0000 3.4475
0.0000 1.4765 8.7300
```

M_tot   0.0 μB/f.u.

---

Relative stability in eV/atom, measured from the most stable structure: entry w 0.525; entry x 0.000

---

Entry w
A plane-wave DFT calculation with GGA-PBE was carried out for an optimized crystal structure of Tc2HgP.

```
Tc2HgP
1.0
8.2681 0.0000 0.0000
0.0000 3.0125 0.0000
-1.3853 0.0000 5.8445
Tc Hg P
4 2 2
Cartesian
0.0000 0.0000 0.0000
1.5175 1.5062 1.6353
4.1341 1.5062 0.0000
5.6516 0.0000 1.6353
3.2666 0.0000 3.4139
7.4007 1.5062 3.4139
2.3226 0.0000 0.0568
6.4567 1.5062 0.0568
```

M_tot   0.3 μB/f.u.

---

Entry x
A plane-wave DFT calculation with GGA-PBE was carried out for an optimized crystal structure of Tc2HgP.

```
Tc2HgP
1.0
2.9869 0.0000 0.0000
0.0000 4.6836 0.0000
0.0000 0.0000 10.3180
Tc Hg P
4 2 2
Cartesian
0.0000 0.0000 0.0000
0.0000 2.3418 2.1537
1.4935 0.0000 2.1537
1.4935 2.3418 0.0000
0.0000 0.0000 4.8117
1.4935 2.3418 4.8117
0.0000 2.3418 8.4292
1.4935 0.0000 8.4292
```

M_tot   0.0 μB/f.u.

---

Entry y
A plane-wave DFT calculation with GGA-PBE was carried out for an optimized crystal structure of Tc2HgP.

```
Tc2HgP
1.0
2.9639 0.0000 0.0000
0.0000 2.9639 0.0000
0.0000 0.0000 7.0084
Tc Hg P
2 1 1
Cartesian
0.0000 0.0000 1.3120
0.0000 0.0000 5.6965
1.4820 1.4820 3.5042
1.4820 1.4820 0.0000
```

M_tot   0.0 μB/f.u.

---

Relative stability in eV/atom, measured from the most stable structure: entry w 0.256; entry x 0.421; entry y 0.000

---

Entry w
A plane-wave DFT calculation with GGA-PBE was carried out for an optimized crystal structure of Tc2HgP.

```
Tc2HgP
1.0
4.1032 0.0000 0.0000
0.0000 4.1032 0.0000
0.0000 0.0000 17.5915
Tc Hg P
8 4 4
Cartesian
0.6118 1.0258 2.1989
1.0258 2.6633 6.5968
1.0258 3.4914 15.3926
1.4398 1.0258 10.9947
2.6633 3.0774 10.9947
3.0774 0.6118 15.3926
3.0774 1.4398 6.5968
3.4914 3.0774 2.1989
0.0000 0.0000 8.7957
0.0000 2.0516 13.1936
2.0516 0.0000 4.3979
2.0516 2.0516 0.0000
0.0000 0.0000 0.0000
0.0000 2.0516 4.3979
2.0516 0.0000 13.1936
2.0516 2.0516 8.7957
```

M_tot   0.0 μB/f.u.

---

Entry x
A plane-wave DFT calculation with GGA-PBE was carried out for an optimized crystal structure of Tc2HgP.

```
Tc2HgP
1.0
3.0024 0.0000 0.0000
0.0000 3.5869 0.0000
-1.1937 0.0000 5.9273
Tc Hg P
2 1 1
Cartesian
0.0953 0.0000 1.7826
1.7134 0.0000 4.1448
1.5012 1.7934 0.0000
0.9043 1.7934 2.9637
```

M_tot   0.0 μB/f.u.

---

Entry y
A plane-wave DFT calculation with GGA-PBE was carried out for an optimized crystal structure of Tc2HgP.

```
Tc2HgP
1.0
3.9263 0.0000 0.0000
0.0000 3.9263 0.0000
0.0000 0.0000 8.1183
Tc Hg P
4 2 2
Cartesian
0.0000 0.0000 0.0000
0.0000 1.9631 2.0296
1.9631 0.0000 6.0887
1.9631 1.9631 4.0592
0.0000 1.9631 6.0887
1.9631 0.0000 2.0296
0.0000 0.0000 4.0592
1.9631 1.9631 0.0000
```

M_tot   0.0 μB/f.u.

---

Relative stability in eV/atom, measured from the most stable structure: entry w 0.482; entry x 0.000; entry y 0.508

---

Entry w
A plane-wave DFT calculation with GGA-PBE was carried out for an optimized crystal structure of Tc2HgP.

```
Tc2HgP
1.0
3.0175 0.0000 0.0000
0.0000 3.0175 0.0000
0.0000 0.0000 7.1363
Tc Hg P
2 1 1
Cartesian
0.0000 0.0000 0.0000
1.5088 1.5088 1.6782
0.0000 0.0000 3.7037
1.5088 1.5088 5.9443
```

M_tot   0.0 μB/f.u.

---

Entry x
A plane-wave DFT calculation with GGA-PBE was carried out for an optimized crystal structure of Tc2HgP.

```
Tc2HgP
1.0
2.9486 0.0000 0.0000
-1.4743 2.5535 0.0000
0.0000 0.0000 24.8750
Tc Hg P
6 3 3
Cartesian
0.0000 0.0000 5.8740
0.0000 0.0000 19.0010
0.0000 1.7023 10.7093
0.0000 1.7023 22.4574
1.4743 0.8512 2.4176
1.4743 0.8512 14.1657
0.0000 0.0000 0.0000
0.0000 1.7023 16.5834
1.4743 0.8512 8.2917
0.0000 0.0000 12.4375
0.0000 1.7023 4.1458
1.4743 0.8512 20.7292
```

M_tot   0.0 μB/f.u.

---

Entry y
A plane-wave DFT calculation with GGA-PBE was carried out for an optimized crystal structure of Tc2HgP.

```
Tc2HgP
1.0
6.2443 0.0000 0.0000
0.0000 6.2443 0.0000
0.0000 0.0000 6.2443
Tc Hg P
8 4 4
Cartesian
1.5611 1.5611 1.5611
1.5611 1.5611 4.6832
1.5611 4.6832 1.5611
1.5611 4.6832 4.6832
4.6832 1.5611 1.5611
4.6832 1.5611 4.6832
4.6832 4.6832 1.5611
4.6832 4.6832 4.6832
0.0000 0.0000 0.0000
0.0000 3.1221 3.1221
3.1221 0.0000 3.1221
3.1221 3.1221 0.0000
0.0000 0.0000 3.1221
0.0000 3.1221 0.0000
3.1221 0.0000 0.0000
3.1221 3.1221 3.1221
```

M_tot   0.0 μB/f.u.

---

Relative stability in eV/atom, measured from the most stable structure: entry w 0.033; entry x 0.000; entry y 0.381